Ac4IrI2N | PBE-GGA | optimized geometry

a = 4.1831 Å, b = 7.3437 Å, c = 8.9197 Å
α = 106.84°, β = 90.00°, γ = 90.00°
Closest atoms and distances in Å follow each position.
Positions (direct):
I  0.0000  0.5000  0.5000  6 Ac 3.71-3.79
I  0.5000  0.0000  0.5000  6 Ac 3.59-3.63
Ac  0.0000  0.7460  0.1804  1 N 2.79, 2 Ir 2.92
Ac  0.5000  0.7931  0.8234  2 N 2.79, 1 Ir 3.01
Ac  0.0000  0.2540  0.8196  1 N 2.79, 2 Ir 2.92
Ac  0.5000  0.2069  0.1766  2 N 2.79, 1 Ir 3.01
Ir  0.5000  0.5000  0.0000  6 Ac 2.92-3.01
N  0.0000  0.0000  0.0000  6 Ac 2.79

## Properties
The uncorrected formation energy comes out at -0.993 eV/atom. The crystal system is monoclinic.



Ac8NiIr3I4 | PBE-GGA | optimized geometry

a = 8.7833 Å, b = 10.0164 Å, c = 8.7814 Å
α = 116.00°, β = 120.01°, γ = 90.00°
Closest atoms and distances in Å follow each position.
Positions (direct):
I  0.0000  0.0000  0.0000  6 Ac 3.72-3.74
I  0.0000  0.0000  0.5000  6 Ac 3.72-3.74
I  0.5000  0.0000  0.5000  6 Ac 3.72-3.74
I  0.5000  0.0000  0.0000  6 Ac 3.73
Ac  0.7719  0.3177  0.5437  2 Ir 2.98, 1 Ni 2.99
Ac  0.2284  0.6828  0.9550  2 Ir 2.98-2.99, 1 Ni 2.99
Ac  0.7285  0.6850  0.4571  3 Ir 3.00
Ac  0.2281  0.6823  0.4563  2 Ir 2.98, 1 Ni 2.99
Ac  0.2734  0.3172  0.0450  2 Ir 2.98-2.99, 1 Ni 2.99
Ac  0.2715  0.3150  0.5429  3 Ir 3.00
Ac  0.7266  0.6828  0.9550  2 Ir 2.98-2.99, 1 Ni 2.99
Ac  0.7716  0.3172  0.0450  2 Ir 2.98-2.99, 1 Ni 2.99
Ni  0.0000  0.5000  0.0000  6 Ac 2.99
Ir  0.0000  0.5000  0.5000  6 Ac 2.98-3.00
Ir  0.5000  0.5000  0.0000  6 Ac 2.98-3.00
Ir  0.5000  0.5000  0.5000  6 Ac 2.98-3.00

## Properties
The uncorrected formation energy comes out at -0.992 eV/atom. The crystal system is trigonal.



Ac8NiIr3I3 | PBE-GGA | optimized geometry

a = 8.7920 Å, b = 8.7819 Å, c = 9.9738 Å
α = 116.05°, β = 90.00°, γ = 120.04°
Closest atoms and distances in Å follow each position.
Positions (direct):
Ir  0.5000  0.5000  0.5000  6 Ac 2.98-3.00
Ir  0.5000  0.0000  0.5000  6 Ac 2.98-3.00
Ir  0.0000  0.5000  0.5000  6 Ac 2.98-3.00
Ni  0.0000  0.0000  0.5000  6 Ac 2.98-2.99
I  0.0000  0.0000  0.0000  6 Ac 3.71-3.73
I  0.5000  0.5000  0.0000  6 Ac 3.71-3.73
I  0.0000  0.5000  0.0000  6 Ac 3.71-3.73
Ac  0.7728  0.5455  0.3187  2 Ir 2.98, 1 Ni 2.98
Ac  0.7263  0.9543  0.6823  2 Ir 2.98, 1 Ni 2.99
Ac  0.2272  0.4545  0.6813  2 Ir 2.98, 1 Ni 2.98
Ac  0.2714  0.5429  0.3144  3 Ir 3.00
Ac  0.7720  0.0457  0.3177  2 Ir 2.98, 1 Ni 2.99
Ac  0.2737  0.0457  0.3177  2 Ir 2.98, 1 Ni 2.99
Ac  0.7286  0.4571  0.6856  3 Ir 3.00
Ac  0.2280  0.9543  0.6823  2 Ir 2.98, 1 Ni 2.99

## Properties
The uncorrected formation energy comes out at -0.868 eV/atom. The crystal system is monoclinic.



Ac4NiIrI2 | PBE-GGA | optimized geometry

a = 4.3773 Å, b = 7.5914 Å, c = 9.0074 Å
α = 106.44°, β = 90.00°, γ = 90.00°
Closest atoms and distances in Å follow each position.
Positions (direct):
I  0.0000  0.5000  0.5000  6 Ac 3.72-3.73
I  0.5000  0.0000  0.5000  6 Ac 3.72-3.74
Ac  0.5000  0.2270  0.1816  2 Ni 2.97, 1 Ir 2.98
Ac  0.5000  0.7730  0.8184  2 Ni 2.97, 1 Ir 2.98
Ac  0.0000  0.7264  0.1843  2 Ir 2.98, 1 Ni 3.00
Ac  0.0000  0.2736  0.8157  2 Ir 2.98, 1 Ni 3.00
Ir  0.5000  0.5000  0.0000  6 Ac 2.98
Ni  0.0000  0.0000  0.0000  6 Ac 2.97-3.00

## Properties
The uncorrected formation energy comes out at -0.902 eV/atom. The crystal system is monoclinic.